1.
## ThB4Pt (PBE)

Data for a geometry-optimized ThB4Pt structure.

Energy: -6.808 eV/atom
Crystal system: orthorhombic
Energy relative to the lowest polymorph listed for this composition: 0.000 eV/atom
Space-group type: Immm

Lattice parameters (Å, degrees): 5.2834 5.2834 5.2834 144.43 121.16 70.68
Atoms (fractional coordinates):
B (0.4575, 0.7686, 0.6889)
B (0.5425, 0.2314, 0.3111)
Pt (0.0000, 0.0000, 0.0000)
B (0.0797, 0.7686, 0.3111)
Th (0.5000, 0.5000, 0.0000)
B (0.9202, 0.2314, 0.6889)

=====

2.
## Te2Os (PBE)

Data for a geometry-optimized Te2Os structure.

Energy: -4.985 eV/atom
Crystal system: cubic
Space-group type: Fd-3m

Lattice parameters (Å, degrees): 8.1392 8.1392 8.1392 60.00 60.00 60.00
Atoms (fractional coordinates):
Te (0.3750, 0.3750, 0.3750)
Te (0.3750, 0.3750, 0.8750)
Te (0.8750, 0.3750, 0.3750)
Os (0.5000, 0.5000, 0.5000)
Os (0.2500, 0.2500, 0.2500)
Te (0.3750, 0.8750, 0.3750)

=====

3.
## Mg2Sc2InAg2Au (PBE)

Data for a geometry-optimized Mg2Sc2InAg2Au structure.

Energy: -3.858 eV/atom
Crystal system: tetragonal
Space-group type: P-4m2

Lattice parameters (Å, degrees): 4.7853 4.7853 6.8757 90.00 90.00 90.00
Atoms (fractional coordinates):
Au (0.0000, 0.0000, 0.0000)
Sc (0.0000, 0.5000, 0.2369)
Ag (0.5000, 0.5000, 0.0000)
Sc (0.5000, 0.0000, 0.7632)
In (0.5000, 0.5000, 0.5000)
Mg (0.5000, 0.0000, 0.2386)
Mg (0.0000, 0.5000, 0.7614)
Ag (0.0000, 0.0000, 0.5000)

=====

4.
## FeNiGeS3 (PBE)

Data for a geometry-optimized FeNiGeS3 structure.

Energy: -5.298 eV/atom
Crystal system: orthorhombic
Energy relative to the lowest polymorph listed for this composition: 0.000 eV/atom
Space-group type: Cmcm

Lattice parameters (Å, degrees): 6.4824 6.4824 8.7857 90.00 90.00 30.57
Atoms (fractional coordinates):
S (0.3616, 0.3616, 0.4475)
S (0.0797, 0.0797, 0.2500)
Fe (0.0000, 0.0000, 0.5000)
Ni (0.4706, 0.4706, 0.2500)
Ge (0.7729, 0.7729, 0.2500)
Ge (0.2271, 0.2271, 0.7500)
Ni (0.5294, 0.5294, 0.7500)
Fe (0.0000, 0.0000, 0.0000)
S (0.6384, 0.6384, 0.9475)
S (0.3616, 0.3616, 0.0525)
S (0.6384, 0.6384, 0.5525)
S (0.9203, 0.9203, 0.7500)

=====

5.
## AcLaPt4 (PBE)

Data for a geometry-optimized AcLaPt4 structure.

Energy: -6.593 eV/atom
Crystal system: cubic
Calculated formation energy: -1.05 eV per atom
Space-group type: F-43m

Lattice parameters (Å, degrees): 5.5953 5.5953 5.5953 60.00 60.00 60.00
Atoms (fractional coordinates):
Pt (0.3751, 0.3751, 0.3751)
Pt (0.3751, 0.3751, 0.8747)
Ac (0.0000, 0.0000, 0.0000)
Pt (0.3751, 0.8747, 0.3751)
Pt (0.8747, 0.3751, 0.3751)
La (0.7500, 0.7500, 0.7500)

=====

6.
## HoLuSn2Os (PBE)

Data for a geometry-optimized HoLuSn2Os structure.

Energy: -6.148 eV/atom
Crystal system: monoclinic
Space-group type: C2/m

Lattice parameters (Å, degrees): 5.8472 5.8472 10.9322 112.74 112.74 44.25
Atoms (fractional coordinates):
Ho (0.8135, 0.8135, 0.3701)
Os (0.7192, 0.7192, 0.8248)
Lu (0.9992, 0.9992, 0.8303)
Sn (0.6546, 0.6546, 0.0490)
Ho (0.1865, 0.1865, 0.6299)
Os (0.2808, 0.2808, 0.1752)
Lu (0.0008, 0.0008, 0.1697)
Sn (0.3454, 0.3454, 0.9510)
Sn (0.4668, 0.4668, 0.6159)
Sn (0.5332, 0.5332, 0.3841)

=====

7.
## PrNdNi2Bi2P2 (PBE)

Data for a geometry-optimized PrNdNi2Bi2P2 structure.

Energy: -5.695 eV/atom
Crystal system: tetragonal
Space-group type: P4mm

Lattice parameters (Å, degrees): 4.2445 4.2445 9.8376 90.00 90.00 90.00
Atoms (fractional coordinates):
P (0.5000, 0.5000, 0.1090)
Pr (0.5000, 0.5000, 0.7810)
P (0.0000, 0.0000, 0.8930)
Bi (0.5000, 0.0000, 0.4983)
Ni (0.5000, 0.0000, 0.0012)
Nd (0.0000, 0.0000, 0.2181)
Bi (0.0000, 0.5000, 0.4983)
Ni (0.0000, 0.5000, 0.0012)

=====

8.
## SmHoCuTe3 (PBE)

Data for a geometry-optimized SmHoCuTe3 structure.

Energy: -4.773 eV/atom
Crystal system: orthorhombic
Energy relative to the lowest polymorph listed for this composition: 0.016 eV/atom
Space-group type: Cmcm

Lattice parameters (Å, degrees): 7.4390 7.4390 11.1130 90.00 90.00 147.49
Atoms (fractional coordinates):
Te (0.6477, 0.3523, 0.9339)
Te (0.6477, 0.3523, 0.5661)
Ho (0.0000, 0.0000, 0.5000)
Sm (0.7704, 0.2296, 0.2500)
Te (0.3523, 0.6477, 0.4339)
Sm (0.2296, 0.7704, 0.7500)
Ho (0.0000, 0.0000, 0.0000)
Te (0.3523, 0.6477, 0.0661)
Cu (0.4703, 0.5297, 0.2500)
Te (0.0923, 0.9077, 0.2500)
Cu (0.5297, 0.4703, 0.7500)
Te (0.9077, 0.0923, 0.7500)

=====

9.
## PuTaRe (PBE)

Data for a geometry-optimized PuTaRe structure.

Energy: -12.394 eV/atom
Crystal system: cubic
Calculated formation energy: 0.41 eV per atom
Energy relative to the lowest polymorph listed for this composition: 0.000 eV/atom
Space-group type: F-43m

Lattice parameters (Å, degrees): 4.4571 4.4571 4.4571 60.00 60.00 60.00
Atoms (fractional coordinates):
Pu (0.7500, 0.7500, 0.7500)
Re (0.0000, 0.0000, 0.0000)
Ta (0.2500, 0.2500, 0.2500)

=====

10.
## Pr3Sm2Sb3 (PBE)

Data for a geometry-optimized Pr3Sm2Sb3 structure.

Energy: -5.488 eV/atom
Crystal system: hexagonal
Space-group type: P6_3/mcm

Lattice parameters (Å, degrees): 9.3175 9.3175 6.5217 90.00 90.00 120.00
Atoms (fractional coordinates):
Sm (0.6667, 0.3333, 0.0000)
Sm (0.6667, 0.3333, 0.5000)
Sb (0.0000, 0.6102, 0.7500)
Pr (0.7502, 0.7502, 0.7500)
Sm (0.3333, 0.6667, 0.0000)
Sb (0.3898, 0.0000, 0.2500)
Sb (0.6102, 0.0000, 0.7500)
Sm (0.3333, 0.6667, 0.5000)
Pr (0.0000, 0.7502, 0.2500)
Sb (0.3898, 0.3898, 0.7500)
Pr (0.7502, 0.0000, 0.2500)
Pr (0.0000, 0.2498, 0.7500)
Sb (0.6102, 0.6102, 0.2500)
Pr (0.2498, 0.2498, 0.2500)
Pr (0.2498, 0.0000, 0.7500)
Sb (0.0000, 0.3898, 0.2500)

=====

11.
## LaErSi2Au2 (PBE)

Data for a geometry-optimized LaErSi2Au2 structure.

Energy: -5.318 eV/atom
Crystal system: trigonal
Space-group type: P3m1

Lattice parameters (Å, degrees): 4.3675 4.3675 7.8541 90.00 90.00 120.00
Atoms (fractional coordinates):
La (0.0000, 0.0000, 0.0033)
Si (0.3333, 0.6667, 0.2398)
Er (0.0000, 0.0000, 0.4974)
Au (0.3333, 0.6667, 0.7359)
Au (0.6667, 0.3333, 0.2900)
Si (0.6667, 0.3333, 0.7156)

=====

12.
## Pr3Cd2InNiAu2 (PBE)

Data for a geometry-optimized Pr3Cd2InNiAu2 structure.

Energy: -4.023 eV/atom
Crystal system: orthorhombic
Space-group type: Amm2

Lattice parameters (Å, degrees): 4.0422 7.8695 7.8695 120.29 90.00 90.00
Atoms (fractional coordinates):
Pr (0.5000, 0.4016, 0.9986)
Cd (0.0000, 0.7593, 0.9999)
Pr (0.5000, 0.5999, 0.5999)
Cd (0.0000, 0.9999, 0.7593)
In (0.0000, 0.2355, 0.2355)
Pr (0.5000, 0.9986, 0.4016)
Au (0.0000, 0.6647, 0.3333)
Au (0.0000, 0.3333, 0.6647)
Ni (0.5000, 0.0073, 0.0073)

=====

Q: energy of number 10 (Pr3Sm2Sb3)?
A: -5.488 eV/atom

=====

Q: Among the records above, which one has the highest energy?
A: Mg2Sc2InAg2Au

=====

Q: Among the records above, which one has the lowest energy?
A: PuTaRe